[1]
This record from Alexandria describes a geometry-optimized LiTb2Ho3S6 structure. The functional is GGA-PBE.

Computed properties:
raw formation energy	-1.959	eV/atom

Cell lengths 6.7138, 11.6586, 6.7300 Å; angles 90.00, 109.58, 90.00 degrees
With the nearest neighbours (Å) after each atom.
Space group C2/m (No. 12)
Inequivalent atoms, fractional coordinates:
Li 0.0000 0.0000 0.0000  6 S 2.67-2.70
Tb 0.0000 0.3342 0.0000  6 S 2.75-2.77
Ho 0.0000 0.1660 0.5000  6 S 2.72-2.80
Ho 0.0000 0.5000 0.5000  6 S 2.73-2.82
S 0.2410 0.0000 0.7540  1 Li 2.67, 3 Ho 2.73-2.82, 2 Tb 2.75
S 0.2454 0.1626 0.2494  1 Li 2.70, 3 Ho 2.72-2.80, 2 Tb 2.77

---

[2]
This record from Alexandria describes a geometry-optimized TcCl structure. The functional is GGA-PBE.

Computed properties:
raw formation energy	-0.056	eV/atom
offset from the most stable computed form	0.14	eV per formula unit

Cell lengths 2.9306, 17.6985, 2.9311 Å; angles 90.00, 90.00, 90.00 degrees
With the nearest neighbours (Å) after each atom.
Space group Cmcm (No. 63)
Inequivalent atoms, fractional coordinates:
Tc 0.0000 0.2032 0.2500  8 Tc 2.65-2.93, 4 Cl 2.66
Cl 0.0000 0.3910 0.2500  4 Tc 2.66, 4 Cl 2.93

---

[3]
This record from Alexandria describes a geometry-optimized La2Tc3N8 structure. The functional is GGA-PBE.

Computed properties:
raw formation energy	-0.221	eV/atom

Cell lengths 12.0267, 6.5832, 5.0508 Å; angles 90.00, 112.25, 90.00 degrees
With the nearest neighbours (Å) after each atom.
Space group C2/m (No. 12)
Inequivalent atoms, fractional coordinates:
La 0.2353 0.0000 0.1523  6 N 2.39-2.53
Tc 0.0000 0.1950 0.5000  4 N 1.92-1.94
Tc 0.0000 0.5000 0.0000  6 N 1.89-2.09
N 0.0979 0.2806 0.8815  2 Tc 1.92-2.09
N 0.1057 0.5000 0.3870  1 Tc 1.89
N 0.1110 0.0000 0.4496  2 Tc 1.94

---

[4]
This record from Alexandria describes a geometry-optimized Th2Ni4Ge3Pt structure. The functional is GGA-PBE.

Computed properties:
total energy	-64.77	eV per formula unit

Cell lengths 4.1108, 4.1108, 10.0828 Å; angles 90.00, 90.00, 90.00 degrees
With the nearest neighbours (Å) after each atom.
Space group P-4m2 (No. 115)
Inequivalent atoms, fractional coordinates:
Th 0.0000 0.5000 0.2490  8 Ni 3.10-3.24, 6 Ge 3.17-3.26, 2 Pt 3.26
Ni 0.0000 0.0000 0.0000  4 Ge 2.40
Ni 0.0000 0.5000 0.6445  3 Ge 2.35-2.52, 2 Pt 2.52
Ni 0.5000 0.5000 0.0000  4 Ge 2.40
Ge 0.0000 0.5000 0.8776  5 Ni 2.35-2.40
Ge 0.5000 0.5000 0.5000  4 Ni 2.52
Pt 0.0000 0.0000 0.5000  4 Ni 2.52

---

[5]
This record from Alexandria describes a geometry-optimized CsBeCuTe2 structure. The functional is GGA-PBE.

Computed properties:
raw formation energy	-0.458	eV/atom

Cell lengths 6.3289, 14.7095, 6.8813 Å; angles 90.00, 90.00, 90.00 degrees
With the nearest neighbours (Å) after each atom.
Space group Cmme (No. 67)
Inequivalent atoms, fractional coordinates:
Cs 0.0000 0.2500 0.2374  8 Te 3.94-4.36, 2 Cu 4.02, 4 Be 4.39
Be 0.2500 0.0000 0.5000  4 Te 2.50
Cu 0.0000 0.0000 0.0000  2 Te 2.47
Te 0.0000 0.0922 0.7003  1 Cu 2.47, 2 Be 2.50

---

[6]
This record from Alexandria describes a geometry-optimized YAgRu4 structure. The functional is GGA-PBE.

Computed properties:
total energy	-45.50	eV per formula unit

Cell lengths 7.4370, 7.4370, 7.4370 Å; angles 90.00, 90.00, 90.00 degrees
With the nearest neighbours (Å) after each atom.
Space group F-43m (No. 216)
Inequivalent atoms, fractional coordinates:
Y 0.0000 0.0000 0.0000  12 Ru 3.08, 4 Ag 3.22
Ag 0.2500 0.2500 0.7500  12 Ru 3.08, 4 Y 3.22
Ru 0.1243 0.1243 0.3757  6 Ru 2.61-2.64

---

[7]
This record from Alexandria describes a geometry-optimized LaMg2TcAg structure. The functional is GGA-PBE.

Computed properties:
offset from the most stable computed form	4.14	eV per formula unit

Cell lengths 5.9019, 5.9019, 4.6676 Å; angles 90.00, 90.00, 90.00 degrees
With the nearest neighbours (Å) after each atom.
Space group P4/mmm (No. 123)
Inequivalent atoms, fractional coordinates:
La 0.0000 0.0000 0.0000  2 Tc 2.33
Mg 0.0000 0.5000 0.0000  2 La 2.95
Tc 0.0000 0.0000 0.5000  2 La 2.33
Ag 0.5000 0.5000 0.5000  8 Mg 3.76, 4 Tc 4.17

---

[8]
This record from Alexandria describes a geometry-optimized Sr3LiPb structure. The functional is GGA-PBE.

Computed properties:
offset from the most stable computed form	1.15	eV per formula unit

Cell lengths 6.4596, 6.4596, 6.4596 Å; angles 90.00, 90.00, 90.00 degrees
With the nearest neighbours (Å) after each atom.
Space group Pm-3m (No. 221)
Inequivalent atoms, fractional coordinates:
Sr 0.0000 0.0000 0.5000  2 Pb 3.23
Li 0.5000 0.5000 0.5000  12 Sr 4.57
Pb 0.0000 0.0000 0.0000  6 Sr 3.23